(1)
Hf3CoPd | GGA-PBEsol | relaxed

```
Hf3CoPd
1.0
4.889 0.000 0.000
0.000 4.889 0.000
0.000 0.000 4.889
Hf Co Pd
3 1 1
Direct
0.000 0.000 0.500
0.000 0.500 0.000
0.500 0.000 0.000
0.500 0.500 0.500
0.000 0.000 0.000
```

## Properties
- Electronic total energy: -40.22 eV/cell
- ΔE_f: 0.997 eV per atom

(2)
TeMoP | GGA-PBEsol | relaxed

```
TeMoP
1.0
3.335 0.000 0.000
-1.667 2.888 0.000
0.000 0.000 5.817
Te Mo P
1 1 1
Direct
0.000 0.000 0.000
0.333 0.667 0.664
0.667 0.333 0.412
```

## Properties
- Electronic total energy: -21.42 eV/cell
- Polymorph energy (0 for the lowest one): 0 meV per atom
- Uncorrected formation energy: -0.11 eV per atom

(3)
ZnTeRu | GGA-PBEsol | relaxed

```
ZnTeRu
1.0
3.240 0.000 0.000
-1.620 2.806 0.000
0.000 0.000 6.063
Zn Te Ru
1 1 1
Direct
0.000 0.000 0.000
0.667 0.333 0.410
0.333 0.667 0.703
```

## Properties
- Electronic total energy: -14.80 eV/cell
- Uncorrected formation energy: 0.16 eV per atom

(4)
CoNiRh2 | GGA-PBEsol | relaxed

```
CoNiRh2
1.0
-1.800 1.800 3.702
1.800 -1.800 3.702
1.800 1.800 -3.702
Co Ni Rh
1 1 2
Direct
0.000 0.000 0.000
0.250 0.750 0.500
0.500 0.500 0.000
0.750 0.250 0.500
```

## Properties
- Electronic total energy: -29.93 eV/cell
- Polymorph energy (0 for the lowest one): 0 meV per atom
- ΔE_f: 0.060 eV per atom